Entry 1:
First-principles (GGA-PBE) data for a geometry-optimized TbYPSe structure, as listed in the Alexandria database.

Output
calculated total energy: -6.7279 eV per atom
N(E_F): 2.48 states/eV per cell
formation energy from raw total energies: -1.73 eV/atom
space-group type: R3m (160)
total magnetization: 0.000 μB per atom

Cell and atoms, written as POSCAR:
```
TbYPSe
1.0
3.979 -0.001 0.000
-1.989 3.446 0.000
-1.989 -1.148 6.996
Tb Y P Se
1 1 1 1
direct
0.487 0.142 0.644 Tb
0.118 0.957 0.090 Y
0.306 0.551 0.872 P
0.967 0.381 0.363 Se
```

=====

Entry 2:
First-principles (GGA-PBE) data for a geometry-optimized Tb6ZnP2Se3 structure, as listed in the Alexandria database.

Output
calculated total energy: -5.7057 eV per atom
N(E_F): 5.50 states/eV per cell
formation energy from raw total energies: -1.51 eV/atom
space-group type: C2/m (12)
total magnetization: 0.000 μB per atom

Cell and atoms, written as POSCAR:
```
Tb6ZnP2Se3
1.0
4.036 0.000 0.000
0.000 8.272 0.264
-2.018 -2.417 8.604
Tb Zn P Se
6 1 2 3
direct
0.334 0.904 0.668 Tb
0.672 0.572 0.344 Tb
0.666 0.096 0.332 Tb
0.004 0.253 0.008 Tb
0.996 0.747 0.992 Tb
0.328 0.428 0.656 Tb
0.500 0.000 0.000 Zn
0.833 0.665 0.666 P
0.167 0.335 0.334 P
0.500 0.500 0.000 Se
0.832 0.168 0.664 Se
0.168 0.832 0.336 Se
```

=====

Entry 3:
First-principles (GGA-PBE) data for a geometry-optimized Tb4ZnPSe2 structure, as listed in the Alexandria database.

Output
calculated total energy: -5.3871 eV per atom
N(E_F): 5.33 states/eV per cell
formation energy from raw total energies: -1.37 eV/atom
space-group type: P2/m (10)
total magnetization: 0.000 μB per atom

Cell and atoms, written as POSCAR:
```
Tb4ZnPSe2
1.0
4.028 0.000 0.000
0.000 7.097 0.155
0.000 -2.450 6.738
Tb Zn P Se
4 1 1 2
direct
0.500 0.238 0.236 Tb
0.500 0.762 0.764 Tb
0.000 0.245 0.754 Tb
0.000 0.755 0.246 Tb
0.500 0.500 0.000 Zn
0.000 0.000 0.000 P
0.500 0.000 0.500 Se
0.000 0.500 0.500 Se
```